(1)
Density functional theory data (PBE-GGA) for a relaxed structure of La2PrPa.

Geometry as POSCAR:
```
La2PrPa
1.0
3.4959 0.0000 0.0000
0.0000 3.4959 0.0000
0.0000 0.0000 10.6292
La Pr Pa
2 1 1
direct
0.0000 0.0000 0.2217
0.0000 0.0000 0.7783
0.5000 0.5000 0.5000
0.5000 0.5000 0.0000
```

N(E_F): 1.53 states/eV/atom
Magnetization: 0.0 μB/f.u.
Energy above the lowest structure with this stoichiometry: 0 meV per atom
SG: P4/mmm, No. 123
Calculated total energy: -23.6 eV/cell



(2)
Density functional theory data (PBE-GGA) for a relaxed structure of As4WAu.

Geometry as POSCAR:
```
As4WAu
1.0
0.0000 3.8113 3.8113
3.8113 0.0000 3.8113
3.8113 3.8113 0.0000
As W Au
4 1 1
direct
0.3758 0.3758 0.3758
0.3758 0.3758 0.8727
0.3758 0.8727 0.3758
0.8727 0.3758 0.3758
0.7500 0.7500 0.7500
0.0000 0.0000 0.0000
```

N(E_F): 0.59 states/eV/atom
Magnetization: 0.0 μB/f.u.
SG: F-43m, No. 216
Calculated total energy: -29.2 eV/cell